(1)
LiCuMoPt2: optimized geometry, PBE.

a b c (Å): 4.6570 3.8802 4.6570
angles (deg): 90.00 90.00 90.00
Positions (direct):
Mo 0.5000 0.5000 0.5000
Cu 0.0000 0.0000 0.0000
Pt 0.0000 0.0000 0.5000
Pt 0.5000 0.0000 0.0000
Li 0.0000 0.5000 0.0000

Properties
Crystal system = tetragonal
Formation energy = 0.694 eV per atom
M_tot = 3.4 μB/cell
Symmetry = P4/mmm (123)
Calculated total energy = -5.090 eV/atom

=====

(2)
Ba2AlGaPd: optimized geometry, PBE.

a b c (Å): 6.3623 4.6383 6.3623
angles (deg): 90.00 90.00 90.00
Positions (direct):
Ga 0.0000 0.0000 0.0000
Ba 0.0000 0.0000 0.5000
Ba 0.5000 0.0000 0.0000
Pd 0.0000 0.5000 0.0000
Al 0.5000 0.5000 0.5000

Properties
Crystal system = tetragonal
Formation energy = 0.009 eV per atom
M_tot = 0.0 μB/cell
Symmetry = P4/mmm (123)
Calculated total energy = -3.152 eV/atom

=====

(3)
Si3PdPt12Pb2: optimized geometry, PBE.

a b c (Å): 7.6076 7.6076 7.6076
angles (deg): 64.94 64.94 64.94
Positions (direct):
Si 0.5000 0.0000 0.0000
Si 0.0000 0.5000 0.0000
Si 0.0000 0.0000 0.5000
Pd 0.0000 0.0000 0.0000
Pt 0.3618 0.3618 0.8912
Pt 0.8602 0.8602 0.3880
Pt 0.3880 0.8602 0.8602
Pt 0.8912 0.3618 0.3618
Pt 0.8602 0.3880 0.8602
Pt 0.3618 0.8912 0.3618
Pt 0.6382 0.6382 0.1088
Pt 0.1398 0.1398 0.6120
Pt 0.6120 0.1398 0.1398
Pt 0.1088 0.6382 0.6382
Pt 0.1398 0.6120 0.1398
Pt 0.6382 0.1088 0.6382
Pb 0.6088 0.6088 0.6088
Pb 0.3912 0.3912 0.3912

Properties
Crystal system = trigonal
Energy relative to the elements, uncorrected = -177 meV per atom
M_tot = 0.0 μB/cell
Symmetry = R-3m (166)
Calculated total energy = -5.808 eV/atom

=====

(4)
LaH2S: optimized geometry, PBE.

a b c (Å): 4.1563 4.1563 8.1011
angles (deg): 75.14 75.14 90.00
Positions (direct):
H 0.6698 0.1250 0.2500
H 0.0802 0.6250 0.2500
H 0.3750 0.3302 0.7500
H 0.8750 0.9198 0.7500
S 0.5000 0.5000 0.0000
S 0.2500 0.7500 0.5000
La 0.0000 0.0000 0.0000
La 0.7500 0.2500 0.5000

Properties
Crystal system = tetragonal
ΔE to the lowest computed polymorph = 352 meV per atom
M_tot = 0.0 μB/cell
Symmetry = I-42d (122)
Calculated total energy = -4.455 eV/atom

=====

(5)
Li2CdSb: optimized geometry, PBE.

a b c (Å): 9.5680 9.5680 9.5680
angles (deg): 20.46 20.46 20.46
Positions (direct):
Cd 0.7476 0.7476 0.7476
Li 0.0042 0.0042 0.0042
Li 0.2446 0.2446 0.2446
Sb 0.5036 0.5036 0.5036

Properties
Crystal system = trigonal
Energy relative to the elements, uncorrected = -89 meV per atom
ΔE to the lowest computed polymorph = 315 meV per atom
M_tot = 0.0 μB/cell
Symmetry = R3m (160)
Calculated total energy = -2.305 eV/atom

=====

(6)
MgOs2Se: optimized geometry, PBE.

a b c (Å): 8.8344 8.8344 8.8344
angles (deg): 19.02 19.02 19.02
Positions (direct):
Mg 0.7473 0.7473 0.7473
Os 0.9962 0.9962 0.9962
Os 0.2508 0.2508 0.2508
Se 0.5056 0.5056 0.5056

Properties
Crystal system = trigonal
Energy relative to the elements, uncorrected = 307 meV per atom
ΔE to the lowest computed polymorph = 164 meV per atom
M_tot = 0.0 μB/cell
Symmetry = R3m (160)
Calculated total energy = -6.577 eV/atom

=====

(7)
SrNdS2: optimized geometry, PBE.

a b c (Å): 4.0991 4.0991 14.0612
angles (deg): 90.00 90.00 120.00
Positions (direct):
Sr 0.6667 0.3333 0.2500
Sr 0.3333 0.6667 0.7500
Nd 0.0000 0.0000 0.5000
Nd 0.0000 0.0000 0.0000
S 0.3333 0.6667 0.3816
S 0.6667 0.3333 0.8816
S 0.6667 0.3333 0.6184
S 0.3333 0.6667 0.1184

Properties
Crystal system = hexagonal
Energy relative to the elements, uncorrected = -2020 meV per atom
ΔE to the lowest computed polymorph = 32 meV per atom
M_tot = 0.0 μB/cell
Symmetry = P6_3/mmc (194)
Calculated total energy = -5.696 eV/atom

=====

(8)
CdPRh3: optimized geometry, PBE.

a b c (Å): 4.3899 4.3899 4.3899
angles (deg): 90.00 90.00 90.00
Positions (direct):
P 0.0000 0.0000 0.0000
Rh 0.0000 0.5000 0.0000
Rh 0.0000 0.0000 0.5000
Rh 0.5000 0.0000 0.0000
Cd 0.5000 0.5000 0.5000

Properties
Crystal system = cubic
ΔE to the lowest computed polymorph = 0 meV per atom
Formation energy = -0.222 eV per atom
M_tot = 0.0 μB/cell
Symmetry = Pm-3m (221)
Calculated total energy = -5.898 eV/atom